SrBH | Alexandria | PBE | optimized geometry; SG = Cmcm, No. 63; V = 14.997 Å³/atom; distance to the lowest polymorph of the same formula = 0.0 kJ per mole of atoms; size of the total moment = 0.0000 μB per atom; DOS at the Fermi energy = 0.94 states/eV per cell
1.0
3.702 0.000 0.000
0.000 15.144 0.000
0.000 0.000 3.210
Sr B H
4 4 4
Cartesian
0.000 2.063 0.803 Sr
0.000 13.081 2.408 Sr
1.851 5.509 2.408 Sr
1.851 9.635 0.803 Sr
0.000 7.478 0.803 B
0.000 7.666 2.408 B
1.851 0.094 2.408 B
1.851 15.050 0.803 B
0.000 4.592 0.803 H
0.000 10.553 2.408 H
1.851 2.981 2.408 H
1.851 12.164 0.803 H